A crystal of HgB2P relaxed with PBEsol. Source: Alexandria, functional meta-GGA SCAN.

a b c (Å): 4.1856 4.1856 4.1856
angles (deg): 60.00 60.00 60.00
With the nearest neighbours (Å) after each atom.
Positions (direct):
B  0.7500  0.7500  0.7500  4 P 2.56, 4 Hg 2.56
B  0.2500  0.2500  0.2500  4 Hg 2.56, 4 P 2.56
P  0.0000  0.0000  0.0000  8 B 2.56
Hg  0.5000  0.5000  0.5000  8 B 2.56

Summary:
size of the total moment: 0.000 μB/atom
final energy: -85.75 eV/f.u.